AcPa2TiS8 | PBE-GGA | relaxed

```
data_AcPa2TiS8
_chemical_formula_sum 'Ac1 Pa2 Ti1 S8'
_cell_length_a 6.098
_cell_length_b 8.243
_cell_length_c 6.334
_cell_angle_alpha 90.00
_cell_angle_beta 91.96
_cell_angle_gamma 90.00
_space_group_name_H-M_alt 'P 1'
_space_group_IT_number 1
_space_group_name_Hall 'P 1'
loop_
_atom_site_label
_atom_site_type_symbol
_atom_site_fract_x
_atom_site_fract_y
_atom_site_fract_z
Ac1 Ac 0.000 0.000 0.000
Pa1 Pa 0.500 0.260 0.500
Pa2 Pa 0.500 0.740 0.500
Ti1 Ti 0.000 0.500 0.000
S1 S 0.227 0.291 0.169
S2 S 0.227 0.709 0.169
S3 S 0.274 0.500 0.677
S4 S 0.279 0.000 0.631
S5 S 0.721 0.000 0.369
S6 S 0.726 0.500 0.323
S7 S 0.773 0.291 0.831
S8 S 0.773 0.709 0.831
```

Summary:
* formation energy without anion corrections: -1.51 eV per atom
* spin magnetization: 1.09 μB/f.u.
* symmetry: No. 10

***

Ac3PaTl3S8 | PBE-GGA | relaxed

```
data_Ac3PaTl3S8
_chemical_formula_sum 'Ac3 Pa1 Tl3 S8'
_cell_length_a 9.021
_cell_length_b 9.021
_cell_length_c 9.021
_cell_angle_alpha 57.87
_cell_angle_beta 57.87
_cell_angle_gamma 57.87
_space_group_name_H-M_alt 'P 1'
_space_group_IT_number 1
_space_group_name_Hall 'P 1'
loop_
_atom_site_label
_atom_site_type_symbol
_atom_site_fract_x
_atom_site_fract_y
_atom_site_fract_z
Ac1 Ac 0.000 0.500 0.500
Ac2 Ac 0.500 0.000 0.500
Ac3 Ac 0.500 0.500 0.000
Pa1 Pa 0.000 0.000 0.000
Tl1 Tl 0.000 0.000 0.500
Tl2 Tl 0.000 0.500 0.000
Tl3 Tl 0.500 0.000 0.000
S1 S 0.220 0.220 0.758
S2 S 0.220 0.758 0.220
S3 S 0.242 0.780 0.780
S4 S 0.263 0.263 0.263
S5 S 0.737 0.737 0.737
S6 S 0.758 0.220 0.220
S7 S 0.780 0.242 0.780
S8 S 0.780 0.780 0.242
```

Summary:
* formation energy without anion corrections: -1.52 eV per atom
* spin magnetization: 1.04 μB/f.u.
* symmetry: No. 166

***

Ac2PaTlS6 | PBE-GGA | relaxed

```
data_Ac2PaTlS6
_chemical_formula_sum 'Ac2 Pa1 Tl1 S6'
_cell_length_a 7.825
_cell_length_b 7.825
_cell_length_c 7.825
_cell_angle_alpha 57.02
_cell_angle_beta 57.02
_cell_angle_gamma 57.02
_space_group_name_H-M_alt 'P 1'
_space_group_IT_number 1
_space_group_name_Hall 'P 1'
loop_
_atom_site_label
_atom_site_type_symbol
_atom_site_fract_x
_atom_site_fract_y
_atom_site_fract_z
Ac1 Ac 0.000 0.000 0.000
Ac2 Ac 0.484 0.484 0.484
Pa1 Pa 0.687 0.687 0.687
Tl1 Tl 0.209 0.209 0.209
S1 S 0.050 0.436 0.782
S2 S 0.316 0.857 0.624
S3 S 0.436 0.782 0.050
S4 S 0.624 0.316 0.857
S5 S 0.782 0.050 0.436
S6 S 0.857 0.624 0.316
```

Summary:
* formation energy without anion corrections: -1.68 eV per atom
* spin magnetization: 0.00 μB/f.u.
* symmetry: No. 146

***

AcTmPaS6 | PBE-GGA | relaxed

```
data_AcTmPaS6
_chemical_formula_sum 'Ac1 Tm1 Pa1 S6'
_cell_length_a 7.009
_cell_length_b 7.009
_cell_length_c 5.921
_cell_angle_alpha 90.00
_cell_angle_beta 90.00
_cell_angle_gamma 120.00
_space_group_name_H-M_alt 'P 1'
_space_group_IT_number 1
_space_group_name_Hall 'P 1'
loop_
_atom_site_label
_atom_site_type_symbol
_atom_site_fract_x
_atom_site_fract_y
_atom_site_fract_z
Ac1 Ac 0.000 0.000 0.000
Tm1 Tm 0.667 0.333 0.000
Pa1 Pa 0.333 0.667 0.500
S1 S 0.001 0.366 0.745
S2 S 0.001 0.635 0.255
S3 S 0.365 0.366 0.255
S4 S 0.365 0.999 0.745
S5 S 0.634 0.635 0.745
S6 S 0.634 0.999 0.255
```

Summary:
* formation energy without anion corrections: -1.55 eV per atom
* spin magnetization: 0.05 μB/f.u.
* symmetry: No. 149

***

AcU2PaS8 | PBE-GGA | relaxed

```
data_AcU2PaS8
_chemical_formula_sum 'Ac1 U2 Pa1 S8'
_cell_length_a 6.290
_cell_length_b 8.463
_cell_length_c 6.394
_cell_angle_alpha 90.00
_cell_angle_beta 90.26
_cell_angle_gamma 90.00
_space_group_name_H-M_alt 'P 1'
_space_group_IT_number 1
_space_group_name_Hall 'P 1'
loop_
_atom_site_label
_atom_site_type_symbol
_atom_site_fract_x
_atom_site_fract_y
_atom_site_fract_z
Ac1 Ac 0.000 0.000 0.000
U1 U 0.500 0.254 0.500
U2 U 0.500 0.746 0.500
Pa1 Pa 0.000 0.500 0.000
S1 S 0.235 0.275 0.164
S2 S 0.235 0.725 0.164
S3 S 0.277 0.500 0.668
S4 S 0.282 0.000 0.632
S5 S 0.718 0.000 0.368
S6 S 0.723 0.500 0.332
S7 S 0.765 0.275 0.836
S8 S 0.765 0.725 0.836
```

Summary:
* formation energy without anion corrections: -1.50 eV per atom
* spin magnetization: 4.00 μB/f.u.
* symmetry: No. 10

***

AcPaVS6 | PBE-GGA | relaxed

```
data_AcPaVS6
_chemical_formula_sum 'Ac1 Pa1 V1 S6'
_cell_length_a 6.642
_cell_length_b 6.642
_cell_length_c 5.865
_cell_angle_alpha 90.00
_cell_angle_beta 90.00
_cell_angle_gamma 120.00
_space_group_name_H-M_alt 'P 1'
_space_group_IT_number 1
_space_group_name_Hall 'P 1'
loop_
_atom_site_label
_atom_site_type_symbol
_atom_site_fract_x
_atom_site_fract_y
_atom_site_fract_z
Ac1 Ac 0.000 0.000 0.000
Pa1 Pa 0.667 0.333 0.500
V1 V 0.333 0.667 0.000
S1 S 0.024 0.397 0.246
S2 S 0.024 0.627 0.754
S3 S 0.373 0.397 0.754
S4 S 0.373 0.976 0.246
S5 S 0.603 0.627 0.246
S6 S 0.603 0.976 0.754
```

Summary:
* formation energy without anion corrections: -1.26 eV per atom
* spin magnetization: 0.99 μB/f.u.
* symmetry: No. 149

***

AcYPaS6 | PBE-GGA | relaxed

```
data_AcYPaS6
_chemical_formula_sum 'Ac1 Y1 Pa1 S6'
_cell_length_a 7.066
_cell_length_b 7.066
_cell_length_c 5.909
_cell_angle_alpha 90.00
_cell_angle_beta 90.00
_cell_angle_gamma 120.00
_space_group_name_H-M_alt 'P 1'
_space_group_IT_number 1
_space_group_name_Hall 'P 1'
loop_
_atom_site_label
_atom_site_type_symbol
_atom_site_fract_x
_atom_site_fract_y
_atom_site_fract_z
Ac1 Ac 0.000 0.000 0.000
Y1 Y 0.333 0.667 0.000
Pa1 Pa 0.667 0.333 0.500
S1 S 0.365 0.005 0.256
S2 S 0.365 0.360 0.744
S3 S 0.640 0.005 0.744
S4 S 0.640 0.635 0.256
S5 S 0.995 0.360 0.256
S6 S 0.995 0.635 0.744
```

Summary:
* formation energy without anion corrections: -1.55 eV per atom
* spin magnetization: 0.45 μB/f.u.
* symmetry: No. 149

***

AcZrPa2S8 | PBE-GGA | relaxed

```
data_AcZrPa2S8
_chemical_formula_sum 'Ac1 Zr1 Pa2 S8'
_cell_length_a 6.181
_cell_length_b 8.277
_cell_length_c 6.447
_cell_angle_alpha 90.00
_cell_angle_beta 91.05
_cell_angle_gamma 90.00
_space_group_name_H-M_alt 'P 1'
_space_group_IT_number 1
_space_group_name_Hall 'P 1'
loop_
_atom_site_label
_atom_site_type_symbol
_atom_site_fract_x
_atom_site_fract_y
_atom_site_fract_z
Ac1 Ac 0.000 0.000 0.000
Zr1 Zr 0.000 0.500 0.000
Pa1 Pa 0.500 0.259 0.500
Pa2 Pa 0.500 0.741 0.500
S1 S 0.235 0.281 0.169
S2 S 0.235 0.719 0.169
S3 S 0.272 0.500 0.676
S4 S 0.280 0.000 0.635
S5 S 0.720 0.000 0.365
S6 S 0.728 0.500 0.324
S7 S 0.765 0.281 0.831
S8 S 0.765 0.719 0.831
```

Summary:
* formation energy without anion corrections: -1.59 eV per atom
* spin magnetization: 1.16 μB/f.u.
* symmetry: No. 10

***

AcPa2Sb | PBE-GGA | relaxed

```
data_AcPa2Sb
_chemical_formula_sum 'Ac1 Pa2 Sb1'
_cell_length_a 4.708
_cell_length_b 4.708
_cell_length_c 5.073
_cell_angle_alpha 90.00
_cell_angle_beta 90.00
_cell_angle_gamma 90.00
_space_group_name_H-M_alt 'P 1'
_space_group_IT_number 1
_space_group_name_Hall 'P 1'
loop_
_atom_site_label
_atom_site_type_symbol
_atom_site_fract_x
_atom_site_fract_y
_atom_site_fract_z
Ac1 Ac 0.000 0.000 0.000
Pa1 Pa 0.000 0.500 0.500
Pa2 Pa 0.500 0.000 0.500
Sb1 Sb 0.500 0.500 0.000
```

Summary:
* polymorph energy (0 for the lowest one): 42.1 meV per atom
* formation energy without anion corrections: -0.06 eV per atom
* spin magnetization: 1.19 μB/f.u.
* symmetry: No. 123

***

AcPaSb3 | PBE-GGA | relaxed

```
data_AcPaSb3
_chemical_formula_sum 'Ac4 Pa4 Sb12'
_cell_length_a 14.738
_cell_length_b 6.480
_cell_length_c 6.653
_cell_angle_alpha 90.00
_cell_angle_beta 90.00
_cell_angle_gamma 90.00
_space_group_name_H-M_alt 'P 1'
_space_group_IT_number 1
_space_group_name_Hall 'P 1'
loop_
_atom_site_label
_atom_site_type_symbol
_atom_site_fract_x
_atom_site_fract_y
_atom_site_fract_z
Ac1 Ac 0.176 0.016 0.250
Ac2 Ac 0.176 0.484 0.750
Ac3 Ac 0.824 0.516 0.250
Ac4 Ac 0.824 0.984 0.750
Pa1 Pa 0.413 0.750 0.000
Pa2 Pa 0.413 0.750 0.500
Pa3 Pa 0.587 0.250 0.000
Pa4 Pa 0.587 0.250 0.500
Sb1 Sb 0.003 0.750 0.000
Sb2 Sb 0.003 0.750 0.500
Sb3 Sb 0.260 0.521 0.250
Sb4 Sb 0.260 0.979 0.750
Sb5 Sb 0.415 0.150 0.250
Sb6 Sb 0.415 0.350 0.750
Sb7 Sb 0.585 0.650 0.250
Sb8 Sb 0.585 0.850 0.750
Sb9 Sb 0.740 0.021 0.250
Sb10 Sb 0.740 0.479 0.750
Sb11 Sb 0.997 0.250 0.000
Sb12 Sb 0.997 0.250 0.500
```

Summary:
* polymorph energy (0 for the lowest one): 0.0 meV per atom
* formation energy without anion corrections: -0.62 eV per atom
* spin magnetization: 0.00 μB/f.u.
* symmetry: No. 57

***

AcPa2Sb | PBE-GGA | relaxed

```
data_AcPa2Sb
_chemical_formula_sum 'Ac1 Pa2 Sb1'
_cell_length_a 5.433
_cell_length_b 5.433
_cell_length_c 5.433
_cell_angle_alpha 60.00
_cell_angle_beta 60.00
_cell_angle_gamma 60.00
_space_group_name_H-M_alt 'P 1'
_space_group_IT_number 1
_space_group_name_Hall 'P 1'
loop_
_atom_site_label
_atom_site_type_symbol
_atom_site_fract_x
_atom_site_fract_y
_atom_site_fract_z
Ac1 Ac 0.000 0.000 0.000
Pa1 Pa 0.250 0.250 0.250
Pa2 Pa 0.750 0.750 0.750
Sb1 Sb 0.500 0.500 0.500
```

Summary:
* polymorph energy (0 for the lowest one): 359.8 meV per atom
* formation energy without anion corrections: 0.26 eV per atom
* spin magnetization: 0.01 μB/f.u.
* symmetry: No. 225

***

AcPaSb2 | PBE-GGA | relaxed

```
data_AcPaSb2
_chemical_formula_sum 'Ac1 Pa1 Sb2'
_cell_length_a 3.875
_cell_length_b 3.875
_cell_length_c 7.901
_cell_angle_alpha 90.00
_cell_angle_beta 90.00
_cell_angle_gamma 90.00
_space_group_name_H-M_alt 'P 1'
_space_group_IT_number 1
_space_group_name_Hall 'P 1'
loop_
_atom_site_label
_atom_site_type_symbol
_atom_site_fract_x
_atom_site_fract_y
_atom_site_fract_z
Ac1 Ac 0.000 0.000 0.000
Pa1 Pa 0.000 0.000 0.500
Sb1 Sb 0.500 0.500 0.277
Sb2 Sb 0.500 0.500 0.723
```

Summary:
* polymorph energy (0 for the lowest one): 0.0 meV per atom
* formation energy without anion corrections: -0.67 eV per atom
* spin magnetization: 1.05 μB/f.u.
* symmetry: No. 123

***

AcPa2Sb | PBE-GGA | relaxed

```
data_AcPa2Sb
_chemical_formula_sum 'Ac1 Pa2 Sb1'
_cell_length_a 4.158
_cell_length_b 4.158
_cell_length_c 7.205
_cell_angle_alpha 90.00
_cell_angle_beta 90.00
_cell_angle_gamma 90.00
_space_group_name_H-M_alt 'P 1'
_space_group_IT_number 1
_space_group_name_Hall 'P 1'
loop_
_atom_site_label
_atom_site_type_symbol
_atom_site_fract_x
_atom_site_fract_y
_atom_site_fract_z
Ac1 Ac 0.000 0.000 0.000
Pa1 Pa 0.500 0.500 0.319
Pa2 Pa 0.500 0.500 0.681
Sb1 Sb 0.000 0.000 0.500
```

Summary:
* polymorph energy (0 for the lowest one): 0.0 meV per atom
* formation energy without anion corrections: -0.10 eV per atom
* spin magnetization: 0.00 μB/f.u.
* symmetry: No. 123

***

AcPaSb3 | PBE-GGA | relaxed

```
data_AcPaSb3
_chemical_formula_sum 'Ac1 Pa1 Sb3'
_cell_length_a 5.812
_cell_length_b 5.812
_cell_length_c 5.812
_cell_angle_alpha 90.00
_cell_angle_beta 90.00
_cell_angle_gamma 90.00
_space_group_name_H-M_alt 'P 1'
_space_group_IT_number 1
_space_group_name_Hall 'P 1'
loop_
_atom_site_label
_atom_site_type_symbol
_atom_site_fract_x
_atom_site_fract_y
_atom_site_fract_z
Ac1 Ac 0.000 0.000 0.000
Pa1 Pa 0.500 0.500 0.500
Sb1 Sb 0.000 0.500 0.500
Sb2 Sb 0.500 0.000 0.500
Sb3 Sb 0.500 0.500 0.000
```

Summary:
* polymorph energy (0 for the lowest one): 370.4 meV per atom
* formation energy without anion corrections: -0.25 eV per atom
* spin magnetization: 0.00 μB/f.u.
* symmetry: No. 221

***

AcPaSb2 | PBE-GGA | relaxed

```
data_AcPaSb2
_chemical_formula_sum 'Ac1 Pa1 Sb2'
_cell_length_a 5.534
_cell_length_b 5.534
_cell_length_c 5.534
_cell_angle_alpha 60.00
_cell_angle_beta 60.00
_cell_angle_gamma 60.00
_space_group_name_H-M_alt 'P 1'
_space_group_IT_number 1
_space_group_name_Hall 'P 1'
loop_
_atom_site_label
_atom_site_type_symbol
_atom_site_fract_x
_atom_site_fract_y
_atom_site_fract_z
Ac1 Ac 0.000 0.000 0.000
Pa1 Pa 0.500 0.500 0.500
Sb1 Sb 0.250 0.250 0.250
Sb2 Sb 0.750 0.750 0.750
```

Summary:
* polymorph energy (0 for the lowest one): 96.2 meV per atom
* formation energy without anion corrections: -0.58 eV per atom
* spin magnetization: 1.75 μB/f.u.
* symmetry: No. 225

***

AcPaSbSe | PBE-GGA | relaxed

```
data_AcPaSbSe
_chemical_formula_sum 'Ac1 Pa1 Sb1 Se1'
_cell_length_a 5.409
_cell_length_b 5.409
_cell_length_c 5.409
_cell_angle_alpha 60.00
_cell_angle_beta 60.00
_cell_angle_gamma 60.00
_space_group_name_H-M_alt 'P 1'
_space_group_IT_number 1
_space_group_name_Hall 'P 1'
loop_
_atom_site_label
_atom_site_type_symbol
_atom_site_fract_x
_atom_site_fract_y
_atom_site_fract_z
Ac1 Ac 0.000 0.000 0.000
Pa1 Pa 0.500 0.500 0.500
Sb1 Sb 0.250 0.250 0.250
Se1 Se 0.750 0.750 0.750
```

Summary:
* formation energy without anion corrections: -0.86 eV per atom
* spin magnetization: 2.01 μB/f.u.
* symmetry: No. 216

***

AcPaSbTe | PBE-GGA | relaxed

```
data_AcPaSbTe
_chemical_formula_sum 'Ac1 Pa1 Sb1 Te1'
_cell_length_a 5.538
_cell_length_b 5.538
_cell_length_c 5.538
_cell_angle_alpha 60.00
_cell_angle_beta 60.00
_cell_angle_gamma 60.00
_space_group_name_H-M_alt 'P 1'
_space_group_IT_number 1
_space_group_name_Hall 'P 1'
loop_
_atom_site_label
_atom_site_type_symbol
_atom_site_fract_x
_atom_site_fract_y
_atom_site_fract_z
Ac1 Ac 0.000 0.000 0.000
Pa1 Pa 0.500 0.500 0.500
Sb1 Sb 0.750 0.750 0.750
Te1 Te 0.250 0.250 0.250
```

Summary:
* formation energy without anion corrections: -0.75 eV per atom
* spin magnetization: 1.97 μB/f.u.
* symmetry: No. 216

***

AcPaZnSb | PBE-GGA | relaxed

```
data_AcPaZnSb
_chemical_formula_sum 'Ac1 Pa1 Zn1 Sb1'
_cell_length_a 5.429
_cell_length_b 5.429
_cell_length_c 5.429
_cell_angle_alpha 60.00
_cell_angle_beta 60.00
_cell_angle_gamma 60.00
_space_group_name_H-M_alt 'P 1'
_space_group_IT_number 1
_space_group_name_Hall 'P 1'
loop_
_atom_site_label
_atom_site_type_symbol
_atom_site_fract_x
_atom_site_fract_y
_atom_site_fract_z
Ac1 Ac 0.000 0.000 0.000
Pa1 Pa 0.500 0.500 0.500
Zn1 Zn 0.250 0.250 0.250
Sb1 Sb 0.750 0.750 0.750
```

Summary:
* formation energy without anion corrections: -0.14 eV per atom
* spin magnetization: 2.10 μB/f.u.
* symmetry: No. 216

***

Ac2ScPa | PBE-GGA | relaxed

```
data_Ac2ScPa
_chemical_formula_sum 'Ac2 Sc1 Pa1'
_cell_length_a 12.787
_cell_length_b 12.787
_cell_length_c 12.787
_cell_angle_alpha 15.75
_cell_angle_beta 15.75
_cell_angle_gamma 15.75
_space_group_name_H-M_alt 'P 1'
_space_group_IT_number 1
_space_group_name_Hall 'P 1'
loop_
_atom_site_label
_atom_site_type_symbol
_atom_site_fract_x
_atom_site_fract_y
_atom_site_fract_z
Ac1 Ac 0.088 0.088 0.088
Ac2 Ac 0.912 0.912 0.912
Sc1 Sc 0.500 0.500 0.500
Pa1 Pa 0.000 0.000 0.000
```

Summary:
* energy of formation from the pure elements: 51 kJ/mol of atoms
* spin magnetization: 0.00 μB/f.u.
* symmetry: No. 166

***

AcSc2Pa | PBE-GGA | relaxed

```
data_AcSc2Pa
_chemical_formula_sum 'Ac1 Sc2 Pa1'
_cell_length_a 3.508
_cell_length_b 3.508
_cell_length_c 9.421
_cell_angle_alpha 90.00
_cell_angle_beta 90.00
_cell_angle_gamma 90.00
_space_group_name_H-M_alt 'P 1'
_space_group_IT_number 1
_space_group_name_Hall 'P 1'
loop_
_atom_site_label
_atom_site_type_symbol
_atom_site_fract_x
_atom_site_fract_y
_atom_site_fract_z
Ac1 Ac 0.000 0.000 0.000
Sc1 Sc 0.500 0.500 0.284
Sc2 Sc 0.500 0.500 0.716
Pa1 Pa 0.000 0.000 0.500
```

Summary:
* polymorph energy (0 for the lowest one): 0.0 meV per atom
* energy of formation from the pure elements: 18 kJ/mol of atoms
* spin magnetization: 0.00 μB/f.u.
* symmetry: No. 123